No. 1
Computed, not measured: a geometry-optimized DyLuTe structure at the PBE level of DFT.

The space group is F-43m (No. 216) and the conventional cell measures 7.096, 7.096 and 7.096 Å, with angles of 90.00, 90.00 and 90.00 degrees. Symmetry generates all atoms from Dy at (0.000, 0.000, 0.000), Lu at (0.000, 0.000, 0.500) and Te at (0.250, 0.250, 0.250).

As for the total energy: -53.45 eV for the cell shown. The energy relative to the lowest polymorph listed for this composition comes out at 0.0 kJ/mol of atoms.

No. 2
Computed, not measured: a geometry-optimized CuGeSbOs structure at the PBE level of DFT.

The space group is F-43m (No. 216) and the conventional cell measures 6.394, 6.394 and 6.394 Å, with angles of 90.00, 90.00 and 90.00 degrees. Symmetry generates all atoms from Cu at (0.000, 0.000, 0.000), Ge at (0.250, 0.250, 0.750), Sb at (0.250, 0.250, 0.250) and Os at (0.000, 0.000, 0.500).

As for the total energy: -88.06 eV for the cell shown. The energy relative to the lowest polymorph listed for this composition comes out at 0.0 kJ/mol of atoms.

No. 3
Computed, not measured: a geometry-optimized Tm2P structure at the PBE level of DFT.

The space group is Fd-3m (No. 227, origin choice 2) and the conventional cell measures 8.357, 8.357 and 8.357 Å, with angles of 90.00, 90.00 and 90.00 degrees. Symmetry generates all atoms from Tm at (0.000, 0.000, 0.000) and P at (0.125, 0.125, 0.625).

As for the total energy: -106.00 eV for the cell shown.

No. 4
Computed, not measured: a geometry-optimized BaEr2P4 structure at the PBE level of DFT.

The space group is Fddd (No. 70, origin choice 2) and the conventional cell measures 5.872, 11.089 and 22.547 Å, with angles of 90.00, 90.00 and 90.00 degrees. Symmetry generates all atoms from Ba at (0.125, 0.125, 0.125), Er at (0.125, 0.125, 0.505) and P at (0.047, 0.322, 0.577).

As for the total energy: -292.35 eV for the cell shown.

No. 5
Computed, not measured: a geometry-optimized AlReAg2 structure at the PBE level of DFT.

The space group is F-43m (No. 216) and the conventional cell measures 6.347, 6.347 and 6.347 Å, with angles of 90.00, 90.00 and 90.00 degrees. Symmetry generates all atoms from Al at (0.000, 0.000, 0.000), Re at (0.250, 0.250, 0.250), Ag at (0.000, 0.000, 0.500) and Ag at (0.250, 0.250, 0.750).

As for the total energy: -79.20 eV for the cell shown.

No. 6
Computed, not measured: a geometry-optimized PaGaO3 structure at the PBE level of DFT.

The space group is R-3c (No. 167, hexagonal axes) and the conventional cell measures 6.1043, 6.1043 and 14.7242 Å, with angles of 90.00, 90.00 and 120.00 degrees. Symmetry generates all atoms from Pa at (0.0000, 0.0000, 0.0000), Ga at (0.0000, 0.0000, 0.2500) and O at (0.0000, 0.4215, 0.2500).

As for the total energy: -229.57 eV for the cell shown.

No. 7
Computed, not measured: a geometry-optimized MgNb2Sb3Ir3 structure at the PBE level of DFT.

The space group is Cc (No. 9) and the conventional cell measures 7.651, 13.242 and 7.648 Å, with angles of 90.00, 109.53 and 90.00 degrees. Symmetry generates all atoms from Mg at (0.000, 0.085, 0.000), Nb at (0.497, 0.083, 0.496), Nb at (0.498, 0.249, 0.996), Sb at (0.236, 0.080, 0.752), Sb at (0.250, 0.253, 0.243), Sb at (0.258, 0.422, 0.744), Ir at (0.106, 0.417, 0.365), Ir at (0.128, 0.258, 0.864) and Ir at (0.135, 0.092, 0.384).

As for the total energy: -262.81 eV for the cell shown.

No. 8
Computed, not measured: a geometry-optimized DyHo3Pb2C2 structure at the PBE level of DFT.

The space group is P3m1 (No. 156) and the conventional cell measures 3.6256, 3.6256 and 16.0696 Å, with angles of 90.00, 90.00 and 120.00 degrees. Symmetry generates all atoms from Dy at (0.0000, 0.0000, 0.0000), Ho at (0.0000, 0.0000, 0.6649), Ho at (0.6667, 0.3333, 0.1650), Ho at (0.6667, 0.3333, 0.5001), Pb at (0.0000, 0.0000, 0.3325), Pb at (0.6667, 0.3333, 0.8324), C at (0.3333, 0.6667, 0.0826) and C at (0.3333, 0.6667, 0.5825).

As for the total energy: -48.24 eV for the cell shown.

No. 9
Computed, not measured: a geometry-optimized PrErGa2Pt4 structure at the PBE level of DFT.

The space group is P-6m2 (No. 187) and the conventional cell measures 4.4019, 4.4019 and 9.3240 Å, with angles of 90.00, 90.00 and 120.00 degrees. Symmetry generates all atoms from Pr at (0.0000, 0.0000, 0.0000), Er at (0.3333, 0.6667, 0.5000), Ga at (0.6667, 0.3333, 0.2561), Pt at (0.0000, 0.0000, 0.3409) and Pt at (0.3333, 0.6667, 0.1823).

As for the total energy: -47.78 eV for the cell shown.

No. 10
Computed, not measured: a geometry-optimized GdMgZn structure at the PBE level of DFT.

The space group is P1 (No. 1) and the conventional cell measures 6.367, 6.442 and 7.772 Å, with angles of 86.28, 87.38 and 62.05 degrees. Symmetry generates all atoms from Gd at (0.000, 0.000, 0.000), Gd at (0.076, 0.474, 0.929), Gd at (0.544, 0.535, 0.959), Gd at (0.711, 0.666, 0.325), Mg at (0.195, 0.165, 0.327), Mg at (0.420, 0.427, 0.585), Mg at (0.429, 0.960, 0.678), Mg at (0.957, 0.894, 0.568), Zn at (0.223, 0.625, 0.274), Zn at (0.516, 0.012, 0.020), Zn at (0.642, 0.198, 0.292) and Zn at (0.898, 0.340, 0.641).

As for the total energy: -30.88 eV for the cell shown.

No. 11
Computed, not measured: a geometry-optimized TbNd2In3AgIr2 structure at the PBE level of DFT.

The space group is Amm2 (No. 38) and the conventional cell measures 4.039, 13.263 and 7.743 Å, with angles of 90.00, 90.00 and 90.00 degrees. Symmetry generates all atoms from Tb at (0.000, 0.000, 0.000), Nd at (0.000, 0.207, 0.622), In at (0.500, 0.000, 0.679), In at (0.500, 0.131, 0.282), Ag at (0.000, 0.000, 0.412) and Ir at (0.500, 0.163, 0.917).

As for the total energy: -96.28 eV for the cell shown.

No. 12
Computed, not measured: a geometry-optimized GdNbPO structure at the PBE level of DFT.

The space group is P4/nmm (No. 129, origin choice 2) and the conventional cell measures 4.159, 4.159 and 7.575 Å, with angles of 90.00, 90.00 and 90.00 degrees. Symmetry generates all atoms from Gd at (0.250, 0.750, 0.000), Nb at (0.250, 0.250, 0.398), P at (0.250, 0.250, 0.749) and O at (0.250, 0.750, 0.500).

As for the total energy: -56.68 eV for the cell shown. The energy relative to the lowest polymorph listed for this composition comes out at 112.7 kJ/mol of atoms.